First-principles (PBEsol) data for a relaxed BeBr2Cl crystal, as listed in Alexandria.

Unit cell a=3.4386 b=4.8291 c=4.8291 alpha=90.00 beta=90.00 gamma=90.00
Last column: nearest neighbours and their distance in Å.
Sites, in units of the cell vectors:
Br 0.0000 0.5000 0.0000  4 Cl 2.96, 4 Be 2.96
Br 0.0000 0.0000 0.5000  4 Cl 2.96, 4 Be 2.96
Be 0.5000 0.0000 0.0000  8 Br 2.96
Cl 0.5000 0.5000 0.5000  8 Br 2.96

Computed properties:
The calculation puts the total energy at -1.854 eV/atom. The space-group type is P4/mmm.